Entry 1:
Entry from Alexandria via LeMat-Bulk: a geometry-optimized Th6Hg3AsC2 structure (PBE-GGA).

Geometry as POSCAR:
```
Th6Hg3AsC2
1.0
-1.739 0.851 3.372
-5.735 -6.945 -1.205
9.082 -2.733 3.133
C As Th Hg
2 1 6 3
Direct
0.171 0.316 0.342
0.829 0.684 0.658
0.500 0.000 0.000
0.033 0.257 0.067
0.315 0.459 0.631
0.685 0.541 0.369
0.333 0.874 0.666
0.667 0.126 0.334
0.967 0.743 0.933
0.500 0.500 0.000
0.147 0.802 0.293
0.853 0.198 0.707
```

Results
formation energy from the elements	-0.409	eV per atom
magnetic moment	0.000	μB per cell
density of states at the Fermi level	9.694	states/eV/f.u.

Entry 2:
Entry from Alexandria via LeMat-Bulk: a geometry-optimized TiHgAs2C structure (PBE-GGA).

Geometry as POSCAR:
```
TiHgAs2C
1.0
4.388 0.000 0.000
0.000 4.552 0.000
0.000 0.000 4.388
Hg C As Ti
1 1 2 1
Direct
0.000 0.500 0.000
0.000 0.000 0.000
0.000 0.000 0.500
0.500 0.000 0.000
0.500 0.500 0.500
```

Results
formation energy from the elements	1.036	eV per atom
magnetic moment	0.000	μB per cell
density of states at the Fermi level	4.470	states/eV/f.u.

Entry 3:
Entry from Alexandria via LeMat-Bulk: a geometry-optimized VHgAsC2 structure (PBE-GGA).

Geometry as POSCAR:
```
VHgAsC2
1.0
3.997 0.000 0.000
0.000 4.901 0.000
0.000 0.000 3.997
V C Hg As
1 2 1 1
Direct
0.000 0.500 0.000
0.000 0.000 0.500
0.500 0.000 0.000
0.500 0.500 0.500
0.000 0.000 0.000
```

Results
formation energy from the elements	2.124	eV per atom
magnetic moment	0.045	μB per cell
density of states at the Fermi level	7.048	states/eV/f.u.